Entry 1:
# B2OsBr, optimized geometry, DFT PBE-GGA
# ρ ... 7.08 g/cm3
# E_tot ... -5.7201 eV per atom
# Formation energy from raw total energies ... 0.844 eV/atom
# Magnetic moment ... 0.00 μB per atom
data_B2OsBr
_symmetry_space_group_name_H-M 'I -4 2 d'
_symmetry_Int_Tables_number 122
_symmetry_space_group_name_Hall 'I -4 2bw'
_cell_length_a 5.265
_cell_length_b 5.265
_cell_length_c 9.878
_cell_angle_alpha 90.00
_cell_angle_beta 90.00
_cell_angle_gamma 90.00
loop_
_atom_site_label
_atom_site_type_symbol
_atom_site_fract_x
_atom_site_fract_y
_atom_site_fract_z
B1 B 0.165 0.250 0.125
Os1 Os 0.000 0.000 0.000
Br1 Br 0.000 0.000 0.500

Entry 2:
# Dy6TmIn2, optimized geometry, DFT PBE-GGA
# ρ ... 8.56 g/cm3
# E_tot ... -4.3769 eV per atom
# Formation energy from the elements ... -203 meV per atom
# Magnetic moment ... 0.00 μB per atom
data_Dy6TmIn2
_symmetry_space_group_name_H-M 'C 1 2/m 1'
_symmetry_Int_Tables_number 12
_cell_length_a 12.687
_cell_length_b 3.726
_cell_length_c 11.859
_cell_angle_alpha 90.00
_cell_angle_beta 107.99
_cell_angle_gamma 90.00
loop_
_symmetry_equiv_pos_as_xyz
'x,y,z'
'-x,-y,-z'
'-x,y,-z'
'x,-y,z'
'x+1/2,y+1/2,z'
'-x+1/2,-y+1/2,-z'
'-x+1/2,y+1/2,-z'
'x+1/2,-y+1/2,z'
loop_
_atom_site_label
_atom_site_type_symbol
_atom_site_fract_x
_atom_site_fract_y
_atom_site_fract_z
Dy1 Dy 0.017 0.000 0.342
Dy2 Dy 0.182 0.500 0.877
Dy3 Dy 0.190 0.500 0.586
Tm1 Tm 0.000 0.000 0.000
In1 In 0.143 0.500 0.202

Entry 3:
# HfIn2Ag2, optimized geometry, DFT PBE-GGA
# ρ ... 9.84 g/cm3
# E_tot ... -4.0866 eV per atom
# Formation energy from the elements ... 140 meV per atom
# Magnetic moment ... 0.00 μB per atom
data_HfIn2Ag2
_symmetry_space_group_name_H-M 'P 4/m b m'
_symmetry_Int_Tables_number 127
_symmetry_space_group_name_Hall '-P 4 2ab'
_cell_length_a 8.217
_cell_length_b 8.217
_cell_length_c 3.118
_cell_angle_alpha 90.00
_cell_angle_beta 90.00
_cell_angle_gamma 90.00
loop_
_atom_site_label
_atom_site_type_symbol
_atom_site_fract_x
_atom_site_fract_y
_atom_site_fract_z
Hf1 Hf 0.000 0.000 0.000
In1 In 0.142 0.358 0.000
Ag1 Ag 0.158 0.658 0.500

Entry 4:
# Ca5CdSn4, optimized geometry, DFT PBE-GGA
# ρ ... 4.61 g/cm3
# E_tot ... -3.2690 eV per atom
# Formation energy from the elements ... -576 meV per atom
# Magnetic moment ... 0.00 μB per atom
data_Ca5CdSn4
_symmetry_space_group_name_H-M 'P 4/m m m'
_symmetry_Int_Tables_number 123
_symmetry_space_group_name_Hall '-P 4 2'
_cell_length_a 3.657
_cell_length_b 3.657
_cell_length_c 21.208
_cell_angle_alpha 90.00
_cell_angle_beta 90.00
_cell_angle_gamma 90.00
loop_
_atom_site_label
_atom_site_type_symbol
_atom_site_fract_x
_atom_site_fract_y
_atom_site_fract_z
Ca1 Ca 0.000 0.000 0.000
Ca2 Ca 0.000 0.000 0.206
Ca3 Ca 0.000 0.000 0.406
Cd1 Cd 0.500 0.500 0.500
Sn1 Sn 0.500 0.500 0.103
Sn2 Sn 0.500 0.500 0.309

Entry 5:
# Sr2CuAg, optimized geometry, DFT PBE-GGA
# ρ ... 4.30 g/cm3
# E_tot ... -2.4479 eV per atom
# Formation energy from the elements ... 130 meV per atom
# Magnetic moment ... 0.00 μB per atom
data_Sr2CuAg
_symmetry_space_group_name_H-M 'I -4 2 d'
_symmetry_Int_Tables_number 122
_symmetry_space_group_name_Hall 'I -4 2bw'
_cell_length_a 8.350
_cell_length_b 8.350
_cell_length_c 7.673
_cell_angle_alpha 90.00
_cell_angle_beta 90.00
_cell_angle_gamma 90.00
loop_
_atom_site_label
_atom_site_type_symbol
_atom_site_fract_x
_atom_site_fract_y
_atom_site_fract_z
Sr1 Sr 0.235 0.750 0.125
Cu1 Cu 0.000 0.000 0.000
Ag1 Ag 0.000 0.000 0.500

Entry 6:
# MgTe3Br, optimized geometry, DFT PBE-GGA
# ρ ... 4.67 g/cm3
# E_tot ... -1.9594 eV per atom
# Formation energy from raw total energies ... 0.579 eV/atom
# Magnetic moment ... 0.00 μB per atom
data_MgTe3Br
_symmetry_space_group_name_H-M 'P m -3 m'
_symmetry_Int_Tables_number 221
_symmetry_space_group_name_Hall '-P 4 2 3'
_cell_length_a 5.576
_cell_length_b 5.576
_cell_length_c 5.576
_cell_angle_alpha 90.00
_cell_angle_beta 90.00
_cell_angle_gamma 90.00
loop_
_atom_site_label
_atom_site_type_symbol
_atom_site_fract_x
_atom_site_fract_y
_atom_site_fract_z
Mg1 Mg 0.000 0.000 0.000
Te1 Te 0.000 0.500 0.500
Br1 Br 0.500 0.500 0.500

Entry 7:
# VPbCl3, optimized geometry, DFT PBE-GGA
# ρ ... 5.01 g/cm3
# E_tot ... -4.3539 eV per atom
# Formation energy from raw total energies ... -0.681 eV/atom
# Magnetic moment ... 0.60 μB per atom
data_VPbCl3
_symmetry_space_group_name_H-M 'P m -3 m'
_symmetry_Int_Tables_number 221
_symmetry_space_group_name_Hall '-P 4 2 3'
_cell_length_a 4.942
_cell_length_b 4.942
_cell_length_c 4.942
_cell_angle_alpha 90.00
_cell_angle_beta 90.00
_cell_angle_gamma 90.00
loop_
_atom_site_label
_atom_site_type_symbol
_atom_site_fract_x
_atom_site_fract_y
_atom_site_fract_z
V1 V 0.000 0.000 0.000
Pb1 Pb 0.500 0.500 0.500
Cl1 Cl 0.000 0.000 0.500

Entry 8:
# Tb10Tm4Zr, optimized geometry, DFT PBE-GGA
# ρ ... 8.17 g/cm3
# E_tot ... -4.6183 eV per atom
# Formation energy from the elements ... 231 meV per atom
# Magnetic moment ... 0.00 μB per atom
data_Tb10Tm4Zr
_symmetry_space_group_name_H-M 'I 4/m m m'
_symmetry_Int_Tables_number 139
_symmetry_space_group_name_Hall '-I 4 2'
_cell_length_a 11.155
_cell_length_b 11.155
_cell_length_c 7.694
_cell_angle_alpha 90.00
_cell_angle_beta 90.00
_cell_angle_gamma 90.00
loop_
_atom_site_label
_atom_site_type_symbol
_atom_site_fract_x
_atom_site_fract_y
_atom_site_fract_z
Tb1 Tb 0.000 0.209 0.213
Tb2 Tb 0.000 0.500 0.250
Tm1 Tm 0.229 0.229 0.500
Zr1 Zr 0.000 0.000 0.500

Entry 9:
# Li2YPb, optimized geometry, DFT PBE-GGA
# ρ ... 4.99 g/cm3
# E_tot ... -3.5090 eV per atom
# Formation energy from the elements ... -9 meV per atom
# Magnetic moment ... 0.00 μB per atom
data_Li2YPb
_symmetry_space_group_name_H-M 'R -3 m'
_symmetry_Int_Tables_number 166
_symmetry_space_group_name_Hall '-R 3 2"'
_cell_length_a 3.3744
_cell_length_b 3.3744
_cell_length_c 31.3875
_cell_angle_alpha 90.00
_cell_angle_beta 90.00
_cell_angle_gamma 120.00
loop_
_atom_site_label
_atom_site_type_symbol
_atom_site_fract_x
_atom_site_fract_y
_atom_site_fract_z
Li1 Li 0.0000 0.0000 0.2437
Y1 Y 0.0000 0.0000 0.0000
Pb1 Pb 0.0000 0.0000 0.5000

Entry 10:
# RbMgAgCl6, optimized geometry, DFT PBE-GGA
# ρ ... 2.54 g/cm3
# E_tot ... -2.9697 eV per atom
# Formation energy from raw total energies ... -1.137 eV/atom
# Magnetic moment ... 0.00 μB per atom
data_RbMgAgCl6
_symmetry_space_group_name_H-M 'C 1 2 1'
_symmetry_Int_Tables_number 5
_cell_length_a 7.078
_cell_length_b 10.706
_cell_length_c 7.461
_cell_angle_alpha 90.00
_cell_angle_beta 94.95
_cell_angle_gamma 90.00
loop_
_symmetry_equiv_pos_as_xyz
'x,y,z'
'-x,y,-z'
'x+1/2,y+1/2,z'
'-x+1/2,y+1/2,-z'
loop_
_atom_site_label
_atom_site_type_symbol
_atom_site_fract_x
_atom_site_fract_y
_atom_site_fract_z
Rb1 Rb 0.000 0.000 0.000
Mg1 Mg 0.000 0.673 0.500
Ag1 Ag 0.000 0.321 0.500
Cl1 Cl 0.124 0.485 0.689
Cl2 Cl 0.169 0.786 0.738
Cl3 Cl 0.186 0.169 0.672

Entry 11:
# Bi5Rh2, optimized geometry, DFT PBE-GGA
# ρ ... 11.63 g/cm3
# E_tot ... -4.9876 eV per atom
# Formation energy from the elements ... -115 meV per atom
# Magnetic moment ... 0.00 μB per atom
data_Bi5Rh2
_symmetry_space_group_name_H-M 'C 1 2/c 1'
_symmetry_Int_Tables_number 15
_cell_length_a 15.260
_cell_length_b 6.931
_cell_length_c 6.894
_cell_angle_alpha 90.00
_cell_angle_beta 101.65
_cell_angle_gamma 90.00
loop_
_symmetry_equiv_pos_as_xyz
'x,y,z'
'-x,-y,-z'
'-x,y,-z+1/2'
'x,-y,z+1/2'
'x+1/2,y+1/2,z'
'-x+1/2,-y+1/2,-z'
'-x+1/2,y+1/2,-z+1/2'
'x+1/2,-y+1/2,z+1/2'
loop_
_atom_site_label
_atom_site_type_symbol
_atom_site_fract_x
_atom_site_fract_y
_atom_site_fract_z
Bi1 Bi 0.000 0.050 0.250
Bi2 Bi 0.090 0.380 0.952
Bi3 Bi 0.213 0.097 0.294
Rh1 Rh 0.107 0.239 0.580

Entry 12:
# BaGaSb, optimized geometry, DFT PBE-GGA
# ρ ... 5.28 g/cm3
# E_tot ... -3.5722 eV per atom
# Formation energy from raw total energies ... -0.548 eV/atom
# Magnetic moment ... 0.00 μB per atom
data_BaGaSb
_symmetry_space_group_name_H-M 'I m m a'
_symmetry_Int_Tables_number 74
_symmetry_space_group_name_Hall '-I 2b 2'
_cell_length_a 4.663
_cell_length_b 4.934
_cell_length_c 17.986
_cell_angle_alpha 90.00
_cell_angle_beta 90.00
_cell_angle_gamma 90.00
loop_
_atom_site_label
_atom_site_type_symbol
_atom_site_fract_x
_atom_site_fract_y
_atom_site_fract_z
Ba1 Ba 0.000 0.250 0.163
Ga1 Ga 0.000 0.250 0.969
Sb1 Sb 0.000 0.250 0.630